VASP calculation (PBE-GGA) on crystalline HfPd2Pb at its relaxed geometry.

a b c (Å): 3.471 3.471 6.555
angles (deg): 90.00 90.00 90.00
Element x y z (fractional)
Pd (0.000, 0.000, 0.211)
Pb (0.500, 0.500, 0.500)
Hf (0.500, 0.500, 0.000)
Pd (0.000, 0.000, 0.789)

Results
V   79.0 Å³ per cell
D(E_F)   0.14 states/eV/atom
Calculated formation energy   -558 meV/atom
VASP energy   -6.57 eV per atom
Symmetry   No. 123


VASP calculation (PBE-GGA) on crystalline Hf3PdPb at its relaxed geometry.

a b c (Å): 5.262 5.262 5.262
angles (deg): 90.00 90.00 90.00
Element x y z (fractional)
Hf (0.000, 0.500, 0.000)
Hf (0.000, 0.000, 0.500)
Pd (0.500, 0.500, 0.500)
Hf (0.500, 0.000, 0.000)
Pb (0.000, 0.000, 0.000)

Results
V   145.7 Å³ per cell
D(E_F)   1.43 states/eV/atom
Calculated formation energy   1509 meV/atom
VASP energy   -6.24 eV per atom
Symmetry   No. 221
Distance to the lowest polymorph of the same formula   1.242 eV/atom


VASP calculation (PBE-GGA) on crystalline HfPd2Pb at its relaxed geometry.

a b c (Å): 3.380 3.380 8.742
angles (deg): 78.85 78.85 60.00
Element x y z (fractional)
Pb (0.500, 0.500, 0.500)
Hf (0.000, 0.000, 0.000)
Pd (0.740, 0.740, 0.781)
Pd (0.260, 0.260, 0.219)

Results
V   84.3 Å³ per cell
D(E_F)   0.30 states/eV/atom
Calculated formation energy   -345 meV/atom
VASP energy   -6.36 eV per atom
Symmetry   No. 166


VASP calculation (PBE-GGA) on crystalline Hf2Pd8Pb at its relaxed geometry.

a b c (Å): 4.080 6.571 7.589
angles (deg): 105.51 105.59 90.00
Element x y z (fractional)
Pd (0.680, 0.914, 0.359)
Pd (0.152, 0.212, 0.304)
Pd (0.598, 0.462, 0.196)
Pd (0.320, 0.086, 0.641)
Pd (0.958, 0.278, 0.915)
Pd (0.402, 0.538, 0.804)
Hf (0.783, 0.336, 0.566)
Pb (0.500, 0.000, 0.000)
Hf (0.217, 0.664, 0.434)
Pd (0.848, 0.788, 0.696)
Pd (0.042, 0.722, 0.085)

Results
V   188.3 Å³ per cell
D(E_F)   0.56 states/eV/atom
Calculated formation energy   -573 meV/atom
VASP energy   -6.50 eV per atom
Symmetry   No. 12